[1]
Ca2ZrSe after structural relaxation, computed with PBE-GGA.

Properties
Uncorrected formation energy   -0.542 eV per atom
Magnetic moment   1.92 μB per formula unit
DOS(E_F)   1.9 states/eV/f.u.
Calculated total energy   -54.612 eV for the cell shown

Geometry as CIF:
```
data_Ca2ZrSe
_space_group_name_H-M_alt 'R -3 m'
_space_group_IT_number 166
_space_group_name_Hall '-R 3 2"'
_cell_length_a 3.7619
_cell_length_b 3.7619
_cell_length_c 28.6784
_cell_angle_alpha 90.00
_cell_angle_beta 90.00
_cell_angle_gamma 120.00
loop_
_atom_site_label
_atom_site_type_symbol
_atom_site_fract_x
_atom_site_fract_y
_atom_site_fract_z
_atom_site_occupancy
Ca1 Ca 0.0000 0.0000 0.2321 1
Zr1 Zr 0.0000 0.0000 0.0000 1
Se1 Se 0.0000 0.0000 0.5000 1
```


[2]
Ca2ZrSe after structural relaxation, computed with PBE-GGA.

Properties
Uncorrected formation energy   -0.301 eV per atom
Magnetic moment   0.00 μB per formula unit
DOS(E_F)   4.2 states/eV/f.u.
Calculated total energy   -34.479 eV for the cell shown

Geometry as CIF:
```
data_Ca2ZrSe
_space_group_name_H-M_alt 'I m m m'
_space_group_IT_number 71
_space_group_name_Hall '-I 2 2'
_cell_length_a 3.565
_cell_length_b 5.137
_cell_length_c 11.726
_cell_angle_alpha 90.00
_cell_angle_beta 90.00
_cell_angle_gamma 90.00
loop_
_atom_site_label
_atom_site_type_symbol
_atom_site_fract_x
_atom_site_fract_y
_atom_site_fract_z
_atom_site_occupancy
Ca1 Ca 0.000 0.000 0.196 1
Zr1 Zr 0.000 0.500 0.000 1
Se1 Se 0.000 0.500 0.500 1
```


[3]
CaZr2Se4 after structural relaxation, computed with PBE-GGA.

Properties
Uncorrected formation energy   -1.449 eV per atom
Magnetic moment   0.00 μB per formula unit
DOS(E_F)   3.2 states/eV/f.u.
Calculated total energy   -172.712 eV for the cell shown

Geometry as CIF:
```
data_CaZr2Se4
_space_group_name_H-M_alt 'C m c m'
_space_group_IT_number 63
_space_group_name_Hall '-C 2c 2'
_cell_length_a 3.926
_cell_length_b 12.620
_cell_length_c 13.620
_cell_angle_alpha 90.00
_cell_angle_beta 90.00
_cell_angle_gamma 90.00
loop_
_atom_site_label
_atom_site_type_symbol
_atom_site_fract_x
_atom_site_fract_y
_atom_site_fract_z
_atom_site_occupancy
Ca1 Ca 0.000 0.117 0.250 1
Zr1 Zr 0.000 0.372 0.062 1
Se1 Se 0.000 0.000 0.000 1
Se2 Se 0.000 0.273 0.618 1
Se3 Se 0.000 0.446 0.250 1
```